1.
Material: FeCu2BPt
Method: DFT, PBE
State: optimized geometry

POSCAR file:
```
FeCu2BPt
1.0
4.4006 0.0000 0.0000
0.0000 4.4006 0.0000
0.0000 0.0000 3.6100
Fe Cu B Pt
1 2 1 1
direct
0.0000 0.0000 0.0000 Fe
0.0000 0.5000 0.0000 Cu
0.5000 0.0000 0.0000 Cu
0.0000 0.0000 0.5000 B
0.5000 0.5000 0.5000 Pt
```

- SG = P4/mmm
- crystal system = tetragonal
- ΔH_f (0 K) (eV/atom) = 1.042

***

2.
Material: FeCuBSb2
Method: DFT, PBE
State: optimized geometry

POSCAR file:
```
FeCuBSb2
1.0
4.8727 0.0000 0.0000
0.0000 4.8727 0.0000
0.0000 0.0000 3.8386
Fe Cu B Sb
1 1 1 2
direct
0.0000 0.0000 0.0000 Fe
0.5000 0.5000 0.0000 Cu
0.5000 0.5000 0.5000 B
0.0000 0.5000 0.5000 Sb
0.5000 0.0000 0.5000 Sb
```

- SG = P4/mmm
- crystal system = tetragonal
- ΔE_f (raw) (eV per atom) = 0.8157

***

3.
Material: Fe2CuSiB
Method: DFT, PBE
State: optimized geometry

POSCAR file:
```
Fe2CuSiB
1.0
4.4502 0.0000 0.0000
0.0000 4.4502 0.0000
0.0000 0.0000 4.1378
Fe Cu Si B
2 1 1 1
direct
0.0000 0.5000 0.0000 Fe
0.5000 0.0000 0.0000 Fe
0.0000 0.0000 0.0000 Cu
0.0000 0.0000 0.5000 Si
0.5000 0.5000 0.5000 B
```

- SG = P4/mmm
- crystal system = tetragonal
- ΔE_f (raw) (eV per atom) = 1.6275

***

4.
Material: FeCuTcB2
Method: DFT, PBE
State: optimized geometry

POSCAR file:
```
FeCuTcB2
1.0
3.7056 0.0000 0.0000
0.0000 3.7056 0.0000
0.0000 0.0000 4.3638
Fe Cu Tc B
1 1 1 2
direct
0.0000 0.0000 0.0000 Fe
0.0000 0.0000 0.5000 Cu
0.5000 0.5000 0.5000 Tc
0.0000 0.5000 0.0000 B
0.5000 0.0000 0.0000 B
```

- SG = P4/mmm
- crystal system = tetragonal
- ΔH_f (0 K) (eV/atom) = 1.101

***

5.
Material: YFeCuB2
Method: DFT, PBE
State: optimized geometry

POSCAR file:
```
YFeCuB2
1.0
3.8650 0.0000 0.0000
0.0000 3.8650 0.0000
0.0000 0.0000 4.4700
Y Fe Cu B
1 1 1 2
direct
0.0000 0.0000 0.0000 Y
0.5000 0.5000 0.5000 Fe
0.5000 0.5000 0.0000 Cu
0.0000 0.5000 0.5000 B
0.5000 0.0000 0.5000 B
```

- SG = P4/mmm
- crystal system = tetragonal
- ΔH_f (0 K) (eV/atom) = 0.112

***

6.
Material: ZrFeCu2B
Method: DFT, PBE
State: optimized geometry

POSCAR file:
```
ZrFeCu2B
1.0
3.9428 0.0000 0.0000
0.0000 3.9428 0.0000
0.0000 0.0000 4.5716
Zr Fe Cu B
1 1 2 1
direct
0.0000 0.0000 0.0000 Zr
0.5000 0.5000 0.0000 Fe
0.0000 0.5000 0.5000 Cu
0.5000 0.0000 0.5000 Cu
0.0000 0.0000 0.5000 B
```

- SG = P4/mmm
- crystal system = tetragonal
- ΔH_f (0 K) (eV/atom) = 0.254

***

7.
Material: GaCu2B2
Method: DFT, PBE
State: optimized geometry

POSCAR file:
```
GaCu2B2
1.0
6.7654 0.0000 0.0000
0.0000 6.7654 0.0000
0.0000 0.0000 2.3640
Ga Cu B
2 4 4
direct
0.0000 0.0000 0.0000 Ga
0.5000 0.5000 0.0000 Ga
0.1323 0.3677 0.0000 Cu
0.3677 0.8677 0.0000 Cu
0.6323 0.1323 0.0000 Cu
0.8677 0.6323 0.0000 Cu
0.1647 0.6647 0.5000 B
0.3353 0.1647 0.5000 B
0.6647 0.8353 0.5000 B
0.8353 0.3353 0.5000 B
```

- SG = P4/mbm
- energy above the lowest structure with this stoichiometry (meV/atom) = 376
- crystal system = tetragonal
- ΔH_f (0 K) (eV/atom) = 0.784

***

8.
Material: GaCu2B2
Method: DFT, PBE
State: optimized geometry

POSCAR file:
```
GaCu2B2
1.0
-1.3684 1.3684 7.1074
1.3684 -1.3684 7.1074
1.3684 1.3684 -7.1074
Ga Cu B
1 2 2
direct
0.0000 0.0000 0.0000 Ga
0.3690 0.3690 0.0000 Cu
0.6310 0.6310 0.0000 Cu
0.2500 0.7500 0.5000 B
0.7500 0.2500 0.5000 B
```

- SG = I4/mmm
- energy above the lowest structure with this stoichiometry (meV/atom) = 0
- crystal system = tetragonal
- ΔH_f (0 K) (eV/atom) = 0.407

***

9.
Material: Ga3CuB
Method: DFT, PBE
State: optimized geometry

POSCAR file:
```
Ga3CuB
1.0
4.6100 0.0000 0.0000
0.0000 4.6100 0.0000
0.0000 0.0000 4.6100
Ga Cu B
3 1 1
direct
0.0000 0.0000 0.5000 Ga
0.0000 0.5000 0.0000 Ga
0.5000 0.0000 0.0000 Ga
0.0000 0.0000 0.0000 Cu
0.5000 0.5000 0.5000 B
```

- SG = Pm-3m
- energy above the lowest structure with this stoichiometry (meV/atom) = 446
- crystal system = cubic
- ΔH_f (0 K) (eV/atom) = 0.971

***

10.
Material: GaCuB2
Method: DFT, PBE
State: optimized geometry

POSCAR file:
```
GaCuB2
1.0
-1.7703 1.7703 7.3733
1.7703 -1.7703 7.3733
1.7703 1.7703 -7.3733
Ga Cu B
2 2 4
direct
0.0000 0.0000 0.0000 Ga
0.7500 0.2500 0.5000 Ga
0.2500 0.7500 0.5000 Cu
0.5000 0.5000 0.0000 Cu
0.3734 0.6250 0.2484 B
0.3750 0.6234 0.7484 B
0.3766 0.1250 0.7516 B
0.8750 0.6266 0.2516 B
```

- SG = I-42d
- crystal system = tetragonal
- ΔH_f (0 K) (eV/atom) = 0.546

***

11.
Material: Ga3CuB
Method: DFT, PBE
State: optimized geometry

POSCAR file:
```
Ga3CuB
1.0
4.3490 0.0000 0.0000
0.0000 4.3490 0.0000
0.0000 0.0000 4.3490
Ga Cu B
3 1 1
direct
0.0000 0.0000 0.5000 Ga
0.0000 0.5000 0.0000 Ga
0.5000 0.0000 0.0000 Ga
0.5000 0.5000 0.5000 Cu
0.0000 0.0000 0.0000 B
```

- SG = Pm-3m
- energy above the lowest structure with this stoichiometry (meV/atom) = 0
- crystal system = cubic
- ΔH_f (0 K) (eV/atom) = 0.525

***

12.
Material: GaCuB
Method: DFT, PBE
State: optimized geometry

POSCAR file:
```
GaCuB
1.0
3.7272 -1.4402 0.0000
3.7272 1.4402 0.0000
-1.2946 0.0000 7.2957
Ga Cu B
2 2 2
direct
0.0000 0.0000 0.0000 Ga
0.0024 0.0024 0.3300 Ga
0.6806 0.6806 0.8204 Cu
0.7566 0.7566 0.5164 Cu
0.3792 0.3792 0.7513 B
0.4761 0.4761 0.5579 B
```

- SG = Cm
- crystal system = monoclinic
- ΔH_f (0 K) (eV/atom) = 0.291

***

13.
Material: Li2GaCuB
Method: DFT, PBE
State: optimized geometry

POSCAR file:
```
Li2GaCuB
1.0
4.7293 0.0000 0.0000
0.0000 4.7293 0.0000
0.0000 0.0000 4.4475
Li Ga Cu B
2 1 1 1
direct
0.0000 0.5000 0.0000 Li
0.5000 0.0000 0.0000 Li
0.0000 0.0000 0.0000 Ga
0.0000 0.0000 0.5000 Cu
0.5000 0.5000 0.5000 B
```

- SG = P4/mmm
- crystal system = tetragonal
- ΔH_f (0 K) (eV/atom) = 1.100

***

14.
Material: GaCu2Ni5B2
Method: DFT, PBE
State: optimized geometry

POSCAR file:
```
GaCu2Ni5B2
1.0
8.4999 0.0000 0.0000
0.0000 8.4999 0.0000
0.0000 0.0000 2.8885
Ga Cu Ni B
2 4 10 4
direct
0.0000 0.0000 0.0000 Ga
0.5000 0.5000 0.0000 Ga
0.1765 0.3235 0.0000 Cu
0.3235 0.8235 0.0000 Cu
0.6765 0.1765 0.0000 Cu
0.8235 0.6765 0.0000 Cu
0.0000 0.5000 0.5000 Ni
0.0705 0.7808 0.5000 Ni
0.2192 0.0705 0.5000 Ni
0.2808 0.5705 0.5000 Ni
0.4295 0.2808 0.5000 Ni
0.5000 0.0000 0.5000 Ni
0.5705 0.7192 0.5000 Ni
0.7192 0.4295 0.5000 Ni
0.7808 0.9295 0.5000 Ni
0.9295 0.2192 0.5000 Ni
0.1246 0.6246 0.0000 B
0.3754 0.1246 0.0000 B
0.6246 0.8754 0.0000 B
0.8754 0.3754 0.0000 B
```

- SG = P4/mbm
- crystal system = tetragonal
- ΔH_f (0 K) (eV/atom) = -0.198

***

15.
Material: GaCu2BP
Method: DFT, PBE
State: optimized geometry

POSCAR file:
```
GaCu2BP
1.0
4.0883 0.0000 0.0000
0.0000 4.0883 0.0000
0.0000 0.0000 4.1556
Ga Cu B P
1 2 1 1
direct
0.0000 0.0000 0.0000 Ga
0.0000 0.5000 0.5000 Cu
0.5000 0.0000 0.5000 Cu
0.5000 0.5000 0.5000 B
0.5000 0.5000 0.0000 P
```

- SG = P4/mmm
- crystal system = tetragonal
- ΔH_f (0 K) (eV/atom) = 0.462

***

16.
Material: RbGaCuB2
Method: DFT, PBE
State: optimized geometry

POSCAR file:
```
RbGaCuB2
1.0
4.2023 0.0000 0.0000
0.0000 4.2023 0.0000
0.0000 0.0000 6.7546
Rb Ga Cu B
1 1 1 2
direct
0.0000 0.0000 0.0000 Rb
0.0000 0.0000 0.5000 Ga
0.5000 0.5000 0.0000 Cu
0.0000 0.5000 0.5000 B
0.5000 0.0000 0.5000 B
```

- SG = P4/mmm
- crystal system = tetragonal
- ΔH_f (0 K) (eV/atom) = 1.642

***

17.
Material: Ga2CuB2Rh5
Method: DFT, PBE
State: optimized geometry

POSCAR file:
```
Ga2CuB2Rh5
1.0
9.3509 0.0000 0.0000
0.0000 9.3509 0.0000
0.0000 0.0000 2.8944
Ga Cu B Rh
4 2 4 10
direct
0.1769 0.3231 0.0000 Ga
0.3231 0.8231 0.0000 Ga
0.6769 0.1769 0.0000 Ga
0.8231 0.6769 0.0000 Ga
0.0000 0.0000 0.0000 Cu
0.5000 0.5000 0.0000 Cu
0.1297 0.6297 0.0000 B
0.3703 0.1297 0.0000 B
0.6297 0.8703 0.0000 B
0.8703 0.3703 0.0000 B
0.0000 0.5000 0.5000 Rh
0.0777 0.7874 0.5000 Rh
0.2126 0.0777 0.5000 Rh
0.2874 0.5777 0.5000 Rh
0.4223 0.2874 0.5000 Rh
0.5000 0.0000 0.5000 Rh
0.5777 0.7126 0.5000 Rh
0.7126 0.4223 0.5000 Rh
0.7874 0.9223 0.5000 Rh
0.9223 0.2126 0.5000 Rh
```

- SG = P4/mbm
- crystal system = tetragonal
- ΔH_f (0 K) (eV/atom) = -0.335

***

18.
Material: GaCu2B2Rh5
Method: DFT, PBE
State: optimized geometry

POSCAR file:
```
GaCu2B2Rh5
1.0
9.3377 0.0000 0.0000
0.0000 9.3377 0.0000
0.0000 0.0000 2.8694
Ga Cu B Rh
2 4 4 10
direct
0.0000 0.0000 0.0000 Ga
0.5000 0.5000 0.0000 Ga
0.1768 0.3232 0.0000 Cu
0.3232 0.8232 0.0000 Cu
0.6768 0.1768 0.0000 Cu
0.8232 0.6768 0.0000 Cu
0.1279 0.6279 0.0000 B
0.3721 0.1279 0.0000 B
0.6279 0.8721 0.0000 B
0.8721 0.3721 0.0000 B
0.0000 0.5000 0.5000 Rh
0.0703 0.7858 0.5000 Rh
0.2142 0.0703 0.5000 Rh
0.2858 0.5703 0.5000 Rh
0.4297 0.2858 0.5000 Rh
0.5000 0.0000 0.5000 Rh
0.5703 0.7142 0.5000 Rh
0.7142 0.4297 0.5000 Rh
0.7858 0.9297 0.5000 Rh
0.9297 0.2142 0.5000 Rh
```

- SG = P4/mbm
- crystal system = tetragonal
- ΔH_f (0 K) (eV/atom) = -0.299

***

19.
Material: GaCuBRh2
Method: DFT, PBE
State: optimized geometry

POSCAR file:
```
GaCuBRh2
1.0
4.0836 0.0000 0.0000
0.0000 4.0836 0.0000
0.0000 0.0000 3.9352
Ga Cu B Rh
1 1 1 2
direct
0.0000 0.0000 0.0000 Ga
0.5000 0.5000 0.0000 Cu
0.5000 0.5000 0.5000 B
0.0000 0.5000 0.5000 Rh
0.5000 0.0000 0.5000 Rh
```

- SG = P4/mmm
- crystal system = tetragonal
- ΔH_f (0 K) (eV/atom) = -0.236